1.
# AcGdAu, relaxed, DFT PBE-GGA
# Symmetry: F-43m (216)
# N(E_F) (states/eV per atom): 1.992
# Energy of formation (eV per atom): -0.372
# V (Å³/atom): 34.1
# Final energy (eV per cell): -22.581
# Offset from the most stable computed form (meV/atom): 133
data_AcGdAu
_space_group_name_H-M_alt 'P 1'
_space_group_IT_number 1
_cell_length_a 5.2483
_cell_length_b 5.2483
_cell_length_c 5.2483
_cell_angle_alpha 60.00
_cell_angle_beta 60.00
_cell_angle_gamma 60.00
loop_
_space_group_symop_operation_xyz
'x,y,z'
loop_
_atom_site_label
_atom_site_type_symbol
_atom_site_fract_x
_atom_site_fract_y
_atom_site_fract_z
_atom_site_occupancy
Ac1 Ac 0.0000 0.0000 0.0000 1
Au1 Au 0.2500 0.2500 0.2500 1
Gd1 Gd 0.5000 0.5000 0.5000 1

=====

2.
# Ac2GdAu, relaxed, DFT PBE-GGA
# Symmetry: R-3m (166)
# N(E_F) (states/eV per atom): 2.414
# Energy of formation (eV per atom): -0.016
# V (Å³/atom): 38.4
# Final energy (eV per cell): -25.641
# Offset from the most stable computed form (meV/atom): 327
data_Ac2GdAu
_space_group_name_H-M_alt 'P 1'
_space_group_IT_number 1
_cell_length_a 3.9192
_cell_length_b 3.9192
_cell_length_c 11.7517
_cell_angle_alpha 80.40
_cell_angle_beta 80.40
_cell_angle_gamma 60.00
loop_
_space_group_symop_operation_xyz
'x,y,z'
loop_
_atom_site_label
_atom_site_type_symbol
_atom_site_fract_x
_atom_site_fract_y
_atom_site_fract_z
_atom_site_occupancy
Gd1 Gd 0.0000 0.0000 0.0000 1
Au1 Au 0.5000 0.5000 0.5000 1
Ac1 Ac 0.1022 0.1022 0.6934 1
Ac2 Ac 0.8978 0.8978 0.3066 1

=====

3.
# AcGdAu2, relaxed, DFT PBE-GGA
# Symmetry: R-3m (166)
# N(E_F) (states/eV per atom): 0.883
# Energy of formation (eV per atom): -0.765
# V (Å³/atom): 27.8
# Final energy (eV per cell): -27.805
# Offset from the most stable computed form (meV/atom): 26
data_AcGdAu2
_space_group_name_H-M_alt 'P 1'
_space_group_IT_number 1
_cell_length_a 5.1138
_cell_length_b 5.1138
_cell_length_c 5.7263
_cell_angle_alpha 63.48
_cell_angle_beta 63.48
_cell_angle_gamma 60.00
loop_
_space_group_symop_operation_xyz
'x,y,z'
loop_
_atom_site_label
_atom_site_type_symbol
_atom_site_fract_x
_atom_site_fract_y
_atom_site_fract_z
_atom_site_occupancy
Au1 Au 0.7766 0.7766 0.6702 1
Au2 Au 0.2234 0.2234 0.3298 1
Ac1 Ac 0.0000 0.0000 0.0000 1
Gd1 Gd 0.5000 0.5000 0.5000 1

=====

4.
# AcGd2Au, relaxed, DFT PBE-GGA
# Symmetry: P4/mmm (123)
# N(E_F) (states/eV per atom): 1.406
# Energy of formation (eV per atom): -0.201
# V (Å³/atom): 30.0
# Final energy (eV per cell): -36.354
# Offset from the most stable computed form (meV/atom): 185
data_AcGd2Au
_space_group_name_H-M_alt 'P 1'
_space_group_IT_number 1
_cell_length_a 5.2558
_cell_length_b 4.7814
_cell_length_c 4.7814
_cell_angle_alpha 90.00
_cell_angle_beta 90.00
_cell_angle_gamma 90.00
loop_
_space_group_symop_operation_xyz
'x,y,z'
loop_
_atom_site_label
_atom_site_type_symbol
_atom_site_fract_x
_atom_site_fract_y
_atom_site_fract_z
_atom_site_occupancy
Gd1 Gd 0.0000 0.5000 0.0000 1
Au1 Au 0.5000 0.0000 0.0000 1
Gd2 Gd 0.0000 0.0000 0.5000 1
Ac1 Ac 0.5000 0.5000 0.5000 1

=====

5.
# AcGdAu, relaxed, DFT PBE-GGA
# Symmetry: I4mm (107)
# N(E_F) (states/eV per atom): 1.352
# Energy of formation (eV per atom): -0.504
# V (Å³/atom): 30.9
# Final energy (eV per cell): -22.979
# Offset from the most stable computed form (meV/atom): 0
data_AcGdAu
_space_group_name_H-M_alt 'P 1'
_space_group_IT_number 1
_cell_length_a 3.8007
_cell_length_b 3.8007
_cell_length_c 6.9623
_cell_angle_alpha 105.84
_cell_angle_beta 105.84
_cell_angle_gamma 90.00
loop_
_space_group_symop_operation_xyz
'x,y,z'
loop_
_atom_site_label
_atom_site_type_symbol
_atom_site_fract_x
_atom_site_fract_y
_atom_site_fract_z
_atom_site_occupancy
Au1 Au 0.6833 0.6833 0.3666 1
Ac1 Ac 0.0158 0.0158 0.0316 1
Gd1 Gd 0.3009 0.3009 0.6017 1

=====

6.
# AcGd2Au, relaxed, DFT PBE-GGA
# Symmetry: R-3m (166)
# N(E_F) (states/eV per atom): 1.439
# Energy of formation (eV per atom): -0.120
# V (Å³/atom): 33.4
# Final energy (eV per cell): -36.028
# Offset from the most stable computed form (meV/atom): 267
data_AcGd2Au
_space_group_name_H-M_alt 'P 1'
_space_group_IT_number 1
_cell_length_a 4.9290
_cell_length_b 4.9290
_cell_length_c 6.9664
_cell_angle_alpha 69.28
_cell_angle_beta 69.28
_cell_angle_gamma 60.00
loop_
_space_group_symop_operation_xyz
'x,y,z'
loop_
_atom_site_label
_atom_site_type_symbol
_atom_site_fract_x
_atom_site_fract_y
_atom_site_fract_z
_atom_site_occupancy
Au1 Au 0.0000 0.0000 0.0000 1
Gd1 Gd 0.2825 0.2825 0.1525 1
Ac1 Ac 0.5000 0.5000 0.5000 1
Gd2 Gd 0.7175 0.7175 0.8475 1

=====

7.
# Ac2GdAu, relaxed, DFT PBE-GGA
# Symmetry: P4/mmm (123)
# N(E_F) (states/eV per atom): 1.330
# Energy of formation (eV per atom): -0.343
# V (Å³/atom): 34.6
# Final energy (eV per cell): -26.947
# Offset from the most stable computed form (meV/atom): 0
data_Ac2GdAu
_space_group_name_H-M_alt 'P 1'
_space_group_IT_number 1
_cell_length_a 3.9019
_cell_length_b 3.9019
_cell_length_c 9.1017
_cell_angle_alpha 90.00
_cell_angle_beta 90.00
_cell_angle_gamma 90.00
loop_
_space_group_symop_operation_xyz
'x,y,z'
loop_
_atom_site_label
_atom_site_type_symbol
_atom_site_fract_x
_atom_site_fract_y
_atom_site_fract_z
_atom_site_occupancy
Au1 Au 0.5000 0.5000 0.0000 1
Gd1 Gd 0.5000 0.5000 0.5000 1
Ac1 Ac 0.0000 0.0000 0.2111 1
Ac2 Ac 0.0000 0.0000 0.7889 1

=====

8.
# AcGd2Au, relaxed, DFT PBE-GGA
# Symmetry: P4/mmm (123)
# N(E_F) (states/eV per atom): 1.256
# Energy of formation (eV per atom): -0.387
# V (Å³/atom): 30.8
# Final energy (eV per cell): -37.095
# Offset from the most stable computed form (meV/atom): 0
data_AcGd2Au
_space_group_name_H-M_alt 'P 1'
_space_group_IT_number 1
_cell_length_a 3.7288
_cell_length_b 3.7288
_cell_length_c 8.8474
_cell_angle_alpha 90.00
_cell_angle_beta 90.00
_cell_angle_gamma 90.00
loop_
_space_group_symop_operation_xyz
'x,y,z'
loop_
_atom_site_label
_atom_site_type_symbol
_atom_site_fract_x
_atom_site_fract_y
_atom_site_fract_z
_atom_site_occupancy
Au1 Au 0.5000 0.5000 0.0000 1
Ac1 Ac 0.5000 0.5000 0.5000 1
Gd1 Gd 0.0000 0.0000 0.1945 1
Gd2 Gd 0.0000 0.0000 0.8055 1

=====

9.
# AcGdAu2, relaxed, DFT PBE-GGA
# Symmetry: P4/mmm (123)
# N(E_F) (states/eV per atom): 0.650
# Energy of formation (eV per atom): -0.791
# V (Å³/atom): 26.7
# Final energy (eV per cell): -27.908
# Offset from the most stable computed form (meV/atom): 0
data_AcGdAu2
_space_group_name_H-M_alt 'P 1'
_space_group_IT_number 1
_cell_length_a 3.7576
_cell_length_b 3.7576
_cell_length_c 7.5641
_cell_angle_alpha 90.00
_cell_angle_beta 90.00
_cell_angle_gamma 90.00
loop_
_space_group_symop_operation_xyz
'x,y,z'
loop_
_atom_site_label
_atom_site_type_symbol
_atom_site_fract_x
_atom_site_fract_y
_atom_site_fract_z
_atom_site_occupancy
Ac1 Ac 0.5000 0.5000 0.5000 1
Au1 Au 0.0000 0.0000 0.2180 1
Au2 Au 0.0000 0.0000 0.7820 1
Gd1 Gd 0.5000 0.5000 0.0000 1

=====

10.
# AcGdGeAu, relaxed, DFT PBE-GGA
# Symmetry: F-43m (216)
# N(E_F) (states/eV per atom): 1.419
# Energy of formation (eV per atom): -0.689
# V (Å³/atom): 27.1
# Final energy (eV per cell): -28.839
data_AcGdGeAu
_space_group_name_H-M_alt 'P 1'
_space_group_IT_number 1
_cell_length_a 5.3510
_cell_length_b 5.3510
_cell_length_c 5.3510
_cell_angle_alpha 60.00
_cell_angle_beta 60.00
_cell_angle_gamma 60.00
loop_
_space_group_symop_operation_xyz
'x,y,z'
loop_
_atom_site_label
_atom_site_type_symbol
_atom_site_fract_x
_atom_site_fract_y
_atom_site_fract_z
_atom_site_occupancy
Ge1 Ge 0.5000 0.5000 0.5000 1
Au1 Au 0.0000 0.0000 0.0000 1
Ac1 Ac 0.2500 0.2500 0.2500 1
Gd1 Gd 0.7500 0.7500 0.7500 1

=====

11.
# AcGdHgAu, relaxed, DFT PBE-GGA
# Symmetry: F-43m (216)
# N(E_F) (states/eV per atom): 1.122
# Energy of formation (eV per atom): -0.597
# V (Å³/atom): 28.5
# Final energy (eV per cell): -24.158
data_AcGdHgAu
_space_group_name_H-M_alt 'P 1'
_space_group_IT_number 1
_cell_length_a 5.4423
_cell_length_b 5.4423
_cell_length_c 5.4423
_cell_angle_alpha 60.00
_cell_angle_beta 60.00
_cell_angle_gamma 60.00
loop_
_space_group_symop_operation_xyz
'x,y,z'
loop_
_atom_site_label
_atom_site_type_symbol
_atom_site_fract_x
_atom_site_fract_y
_atom_site_fract_z
_atom_site_occupancy
Ac1 Ac 0.7500 0.7500 0.7500 1
Au1 Au 0.5000 0.5000 0.5000 1
Hg1 Hg 0.0000 0.0000 0.0000 1
Gd1 Gd 0.2500 0.2500 0.2500 1

=====

12.
# AcLaGdAu, relaxed, DFT PBE-GGA
# Symmetry: F-43m (216)
# N(E_F) (states/eV per atom): 1.374
# Energy of formation (eV per atom): -0.076
# V (Å³/atom): 30.3
# Final energy (eV per cell): -26.699
data_AcLaGdAu
_space_group_name_H-M_alt 'P 1'
_space_group_IT_number 1
_cell_length_a 5.5574
_cell_length_b 5.5574
_cell_length_c 5.5574
_cell_angle_alpha 60.00
_cell_angle_beta 60.00
_cell_angle_gamma 60.00
loop_
_space_group_symop_operation_xyz
'x,y,z'
loop_
_atom_site_label
_atom_site_type_symbol
_atom_site_fract_x
_atom_site_fract_y
_atom_site_fract_z
_atom_site_occupancy
Au1 Au 0.0000 0.0000 0.0000 1
Ac1 Ac 0.5000 0.5000 0.5000 1
Gd1 Gd 0.2500 0.2500 0.2500 1
La1 La 0.7500 0.7500 0.7500 1

=====

13.
# LiAcGdAu, relaxed, DFT PBE-GGA
# Symmetry: F-43m (216)
# N(E_F) (states/eV per atom): 1.425
# Energy of formation (eV per atom): -0.322
# V (Å³/atom): 27.6
# Final energy (eV per cell): -24.668
data_LiAcGdAu
_space_group_name_H-M_alt 'P 1'
_space_group_IT_number 1
_cell_length_a 5.3831
_cell_length_b 5.3831
_cell_length_c 5.3831
_cell_angle_alpha 60.00
_cell_angle_beta 60.00
_cell_angle_gamma 60.00
loop_
_space_group_symop_operation_xyz
'x,y,z'
loop_
_atom_site_label
_atom_site_type_symbol
_atom_site_fract_x
_atom_site_fract_y
_atom_site_fract_z
_atom_site_occupancy
Ac1 Ac 0.2500 0.2500 0.2500 1
Li1 Li 0.5000 0.5000 0.5000 1
Au1 Au 0.0000 0.0000 0.0000 1
Gd1 Gd 0.7500 0.7500 0.7500 1

=====

14.
# AcNdGdAu, relaxed, DFT PBE-GGA
# Symmetry: F-43m (216)
# N(E_F) (states/eV per atom): 1.443
# Energy of formation (eV per atom): -0.054
# V (Å³/atom): 29.7
# Final energy (eV per cell): -26.449
data_AcNdGdAu
_space_group_name_H-M_alt 'P 1'
_space_group_IT_number 1
_cell_length_a 5.5168
_cell_length_b 5.5168
_cell_length_c 5.5168
_cell_angle_alpha 60.00
_cell_angle_beta 60.00
_cell_angle_gamma 60.00
loop_
_space_group_symop_operation_xyz
'x,y,z'
loop_
_atom_site_label
_atom_site_type_symbol
_atom_site_fract_x
_atom_site_fract_y
_atom_site_fract_z
_atom_site_occupancy
Ac1 Ac 0.5000 0.5000 0.5000 1
Au1 Au 0.0000 0.0000 0.0000 1
Nd1 Nd 0.2500 0.2500 0.2500 1
Gd1 Gd 0.7500 0.7500 0.7500 1

=====

15.
# AcGdOsAu, relaxed, DFT PBE-GGA
# Symmetry: F-43m (216)
# N(E_F) (states/eV per atom): 0.684
# Energy of formation (eV per atom): -0.262
# V (Å³/atom): 24.6
# Final energy (eV per cell): -33.746
data_AcGdOsAu
_space_group_name_H-M_alt 'P 1'
_space_group_IT_number 1
_cell_length_a 5.1786
_cell_length_b 5.1786
_cell_length_c 5.1786
_cell_angle_alpha 60.00
_cell_angle_beta 60.00
_cell_angle_gamma 60.00
loop_
_space_group_symop_operation_xyz
'x,y,z'
loop_
_atom_site_label
_atom_site_type_symbol
_atom_site_fract_x
_atom_site_fract_y
_atom_site_fract_z
_atom_site_occupancy
Au1 Au 0.0000 0.0000 0.0000 1
Ac1 Ac 0.2500 0.2500 0.2500 1
Os1 Os 0.5000 0.5000 0.5000 1
Gd1 Gd 0.7500 0.7500 0.7500 1

=====

16.
# AcGdPbAu, relaxed, DFT PBE-GGA
# Symmetry: F-43m (216)
# N(E_F) (states/eV per atom): 1.419
# Energy of formation (eV per atom): -0.591
# V (Å³/atom): 30.0
# Final energy (eV per cell): -27.540
data_AcGdPbAu
_space_group_name_H-M_alt 'P 1'
_space_group_IT_number 1
_cell_length_a 5.5371
_cell_length_b 5.5371
_cell_length_c 5.5371
_cell_angle_alpha 60.00
_cell_angle_beta 60.00
_cell_angle_gamma 60.00
loop_
_space_group_symop_operation_xyz
'x,y,z'
loop_
_atom_site_label
_atom_site_type_symbol
_atom_site_fract_x
_atom_site_fract_y
_atom_site_fract_z
_atom_site_occupancy
Pb1 Pb 0.0000 0.0000 0.0000 1
Au1 Au 0.5000 0.5000 0.5000 1
Gd1 Gd 0.7500 0.7500 0.7500 1
Ac1 Ac 0.2500 0.2500 0.2500 1

=====

17.
# AcGdPdAu, relaxed, DFT PBE-GGA
# Symmetry: F-43m (216)
# N(E_F) (states/eV per atom): 1.004
# Energy of formation (eV per atom): -0.734
# V (Å³/atom): 26.1
# Final energy (eV per cell): -29.597
data_AcGdPdAu
_space_group_name_H-M_alt 'P 1'
_space_group_IT_number 1
_cell_length_a 5.2851
_cell_length_b 5.2851
_cell_length_c 5.2851
_cell_angle_alpha 60.00
_cell_angle_beta 60.00
_cell_angle_gamma 60.00
loop_
_space_group_symop_operation_xyz
'x,y,z'
loop_
_atom_site_label
_atom_site_type_symbol
_atom_site_fract_x
_atom_site_fract_y
_atom_site_fract_z
_atom_site_occupancy
Au1 Au 0.0000 0.0000 0.0000 1
Gd1 Gd 0.7500 0.7500 0.7500 1
Ac1 Ac 0.2500 0.2500 0.2500 1
Pd1 Pd 0.5000 0.5000 0.5000 1

=====

18.
# AcPmGdAu, relaxed, DFT PBE-GGA
# Symmetry: F-43m (216)
# N(E_F) (states/eV per atom): 1.419
# Energy of formation (eV per atom): -0.054
# V (Å³/atom): 29.4
# Final energy (eV per cell): -26.433
data_AcPmGdAu
_space_group_name_H-M_alt 'P 1'
_space_group_IT_number 1
_cell_length_a 5.5022
_cell_length_b 5.5022
_cell_length_c 5.5022
_cell_angle_alpha 60.00
_cell_angle_beta 60.00
_cell_angle_gamma 60.00
loop_
_space_group_symop_operation_xyz
'x,y,z'
loop_
_atom_site_label
_atom_site_type_symbol
_atom_site_fract_x
_atom_site_fract_y
_atom_site_fract_z
_atom_site_occupancy
Pm1 Pm 0.2500 0.2500 0.2500 1
Ac1 Ac 0.5000 0.5000 0.5000 1
Au1 Au 0.0000 0.0000 0.0000 1
Gd1 Gd 0.7500 0.7500 0.7500 1

=====

19.
# AcGdRhAu, relaxed, DFT PBE-GGA
# Symmetry: F-43m (216)
# N(E_F) (states/eV per atom): 1.041
# Energy of formation (eV per atom): -0.665
# V (Å³/atom): 25.1
# Final energy (eV per cell): -31.479
data_AcGdRhAu
_space_group_name_H-M_alt 'P 1'
_space_group_IT_number 1
_cell_length_a 5.2174
_cell_length_b 5.2174
_cell_length_c 5.2174
_cell_angle_alpha 60.00
_cell_angle_beta 60.00
_cell_angle_gamma 60.00
loop_
_space_group_symop_operation_xyz
'x,y,z'
loop_
_atom_site_label
_atom_site_type_symbol
_atom_site_fract_x
_atom_site_fract_y
_atom_site_fract_z
_atom_site_occupancy
Ac1 Ac 0.2500 0.2500 0.2500 1
Rh1 Rh 0.5000 0.5000 0.5000 1
Gd1 Gd 0.7500 0.7500 0.7500 1
Au1 Au 0.0000 0.0000 0.0000 1

=====

20.
# AcGdRuAu, relaxed, DFT PBE-GGA
# Symmetry: F-43m (216)
# N(E_F) (states/eV per atom): 0.543
# Energy of formation (eV per atom): -0.392
# V (Å³/atom): 24.7
# Final energy (eV per cell): -32.309
data_AcGdRuAu
_space_group_name_H-M_alt 'P 1'
_space_group_IT_number 1
_cell_length_a 5.1866
_cell_length_b 5.1866
_cell_length_c 5.1866
_cell_angle_alpha 60.00
_cell_angle_beta 60.00
_cell_angle_gamma 60.00
loop_
_space_group_symop_operation_xyz
'x,y,z'
loop_
_atom_site_label
_atom_site_type_symbol
_atom_site_fract_x
_atom_site_fract_y
_atom_site_fract_z
_atom_site_occupancy
Au1 Au 0.2500 0.2500 0.2500 1
Ru1 Ru 0.7500 0.7500 0.7500 1
Gd1 Gd 0.5000 0.5000 0.5000 1
Ac1 Ac 0.0000 0.0000 0.0000 1

=====

| no. | magnetic moment (Bohr magnetons per cell) |
| --- | --- |
| 1 | 7.62 |
| 2 | 8.06 |
| 3 | 7.11 |
| 4 | 15.78 |
| 5 | 7.83 |
| 6 | 15.22 |
| 7 | 7.98 |
| 8 | 14.87 |
| 9 | 7.06 |
| 10 | 7.74 |
| 11 | 7.07 |
| 12 | 9.36 |
| 13 | 7.41 |
| 14 | 9.24 |
| 15 | 6.97 |
| 16 | 7.84 |
| 17 | 7.18 |
| 18 | 9.28 |
| 19 | 7.12 |
| 20 | 7.06 |